# 1
Density functional theory data (PBE) for a relaxed structure of Mn3ZnGa. Values from VASP.

```
&SYSTEM
  ibrav = 0, nat = 5, ntyp = 3
/
ATOMIC_SPECIES
Mn 54.94 Mn.upf
Zn 65.41 Zn.upf
Ga 69.72 Ga.upf
CELL_PARAMETERS angstrom
4.634 0.000 0.000
0.000 4.634 0.000
0.000 0.000 4.634
ATOMIC_POSITIONS crystal
Mn 0.000 0.000 0.500
Mn 0.000 0.500 0.000
Mn 0.500 0.000 0.000
Zn 0.500 0.500 0.500
Ga 0.000 0.000 0.000
```

Calculated values
symmetry: Pm-3m

***

# 2
Density functional theory data (PBE) for a relaxed structure of MnZn2Ga. Values from VASP.

```
&SYSTEM
  ibrav = 0, nat = 4, ntyp = 3
/
ATOMIC_SPECIES
Mn 54.94 Mn.upf
Zn 65.41 Zn.upf
Ga 69.72 Ga.upf
CELL_PARAMETERS angstrom
3.318 0.000 0.000
0.000 3.318 0.000
0.000 0.000 5.448
ATOMIC_POSITIONS crystal
Mn 0.000 0.000 0.000
Zn 0.500 0.500 0.238
Zn 0.500 0.500 0.762
Ga 0.000 0.000 0.500
```

Calculated values
symmetry: P4/mmm

***

# 3
Density functional theory data (PBE) for a relaxed structure of Mn3ZnGa2. Values from VASP.

```
&SYSTEM
  ibrav = 0, nat = 6, ntyp = 3
/
ATOMIC_SPECIES
Mn 54.94 Mn.upf
Zn 65.41 Zn.upf
Ga 69.72 Ga.upf
CELL_PARAMETERS angstrom
2.758 0.000 0.000
0.000 2.758 0.000
0.000 0.000 10.681
ATOMIC_POSITIONS crystal
Mn 0.000 0.000 0.000
Mn 0.000 0.000 0.331
Mn 0.000 0.000 0.669
Zn 0.500 0.500 0.500
Ga 0.500 0.500 0.167
Ga 0.500 0.500 0.833
```

Calculated values
symmetry: P4/mmm

***

# 4
Density functional theory data (PBE) for a relaxed structure of Mn5ZnGa2. Values from VASP.

```
&SYSTEM
  ibrav = 0, nat = 16, ntyp = 3
/
ATOMIC_SPECIES
Mn 54.94 Mn.upf
Zn 65.41 Zn.upf
Ga 69.72 Ga.upf
CELL_PARAMETERS angstrom
3.824 0.000 0.000
0.000 3.824 0.000
0.000 0.000 14.240
ATOMIC_POSITIONS crystal
Mn 0.000 0.000 0.000
Mn 0.000 0.500 0.123
Mn 0.000 0.500 0.377
Mn 0.000 0.500 0.623
Mn 0.000 0.500 0.877
Mn 0.500 0.000 0.123
Mn 0.500 0.000 0.377
Mn 0.500 0.000 0.623
Mn 0.500 0.000 0.877
Mn 0.500 0.500 0.500
Zn 0.000 0.000 0.500
Zn 0.500 0.500 0.000
Ga 0.000 0.000 0.250
Ga 0.000 0.000 0.750
Ga 0.500 0.500 0.250
Ga 0.500 0.500 0.750
```

Calculated values
symmetry: I4/mmm

***

# 5
Density functional theory data (PBE) for a relaxed structure of Mn4Zn5Ga. Values from VASP.

```
&SYSTEM
  ibrav = 0, nat = 10, ntyp = 3
/
ATOMIC_SPECIES
Mn 54.94 Mn.upf
Zn 65.41 Zn.upf
Ga 69.72 Ga.upf
CELL_PARAMETERS angstrom
6.663 -1.997 0.000
6.663 1.997 0.000
-2.894 0.000 5.565
ATOMIC_POSITIONS crystal
Mn 0.025 0.025 0.260
Mn 0.324 0.324 0.580
Mn 0.676 0.676 0.420
Mn 0.975 0.975 0.740
Zn 0.164 0.164 0.703
Zn 0.180 0.180 0.122
Zn 0.500 0.500 0.500
Zn 0.820 0.820 0.878
Zn 0.836 0.836 0.297
Ga 0.500 0.500 0.000
```

Calculated values
symmetry: C2/m

***

# 6
Density functional theory data (PBE) for a relaxed structure of MnZn6Ga. Values from VASP.

```
&SYSTEM
  ibrav = 0, nat = 16, ntyp = 3
/
ATOMIC_SPECIES
Mn 54.94 Mn.upf
Zn 65.41 Zn.upf
Ga 69.72 Ga.upf
CELL_PARAMETERS angstrom
3.872 0.000 0.000
0.000 7.723 0.000
0.000 0.000 7.940
ATOMIC_POSITIONS crystal
Mn 0.000 0.000 0.000
Mn 0.000 0.500 0.500
Zn 0.000 0.000 0.505
Zn 0.000 0.247 0.749
Zn 0.000 0.253 0.249
Zn 0.000 0.500 0.005
Zn 0.000 0.747 0.249
Zn 0.000 0.753 0.749
Zn 0.500 0.000 0.759
Zn 0.500 0.247 0.493
Zn 0.500 0.253 0.993
Zn 0.500 0.500 0.259
Zn 0.500 0.747 0.993
Zn 0.500 0.753 0.493
Ga 0.500 0.000 0.230
Ga 0.500 0.500 0.730
```

Calculated values
symmetry: Amm2

***

no.,total energy (eV/atom),mass density (g/cm3)
1,-5.490,5.00
2,-3.631,7.07
3,-5.866,7.56
4,-6.687,7.65
5,-4.515,6.91
6,-2.447,7.23